# 1
This record from Alexandria via LeMat-Bulk describes a geometry-optimized RbInAg4 structure. The functional is GGA-PBE.

Lattice parameters (Å, degrees): 5.855 5.855 5.855 60.00 60.00 60.00
Fractional coordinates of all 6 atoms:
Rb  0.000  0.000  0.000
In  0.750  0.750  0.750
Ag  0.376  0.376  0.376
Ag  0.376  0.376  0.872
Ag  0.376  0.872  0.376
Ag  0.872  0.376  0.376

Summary:
Density in Mg/m³: 7.39
Final energy in eV per atom: -2.401
Formation energy in eV/f.u.: 0.71

# 2
This record from Alexandria via LeMat-Bulk describes a geometry-optimized Rb2In2Ag structure. The functional is GGA-PBE.

Lattice parameters (Å, degrees): 7.257 7.257 8.326 90.00 90.00 74.77
Fractional coordinates of all 10 atoms:
Rb  0.194  0.194  0.000
Rb  0.194  0.194  0.500
Rb  0.806  0.806  0.000
Rb  0.806  0.806  0.500
In  0.338  0.662  0.581
In  0.338  0.662  0.919
In  0.662  0.338  0.081
In  0.662  0.338  0.419
Ag  0.365  0.635  0.250
Ag  0.635  0.365  0.750

Summary:
Density in Mg/m³: 3.99
Final energy in eV per atom: -2.069
Formation energy in eV/f.u.: -0.08